V3OsRh2: optimized geometry, GGA-PBE.

Lattice parameters (Å, degrees): 6.2197 6.2197 7.1433 90.00 90.00 143.01
Fractional coordinates of all 12 atoms:
V: 0.0000 0.0000 0.2482
V: 0.0000 0.0000 0.7518
V: 0.3321 0.6679 0.2448
V: 0.3321 0.6679 0.7552
V: 0.6679 0.3321 0.2448
V: 0.6679 0.3321 0.7552
Os: 0.1639 0.8361 0.0000
Os: 0.8361 0.1639 0.0000
Rh: 0.1669 0.8331 0.5000
Rh: 0.5000 0.5000 0.0000
Rh: 0.5000 0.5000 0.5000
Rh: 0.8331 0.1669 0.5000

Values from the calculation:
Energy of formation from the pure elements (meV/atom): -284


Ca3AlSn: optimized geometry, GGA-PBE.

Lattice parameters (Å, degrees): 7.6932 7.6932 7.6932 94.64 109.88 125.38
Fractional coordinates of all 10 atoms:
Ca: 0.2484 0.0004 0.2488
Ca: 0.2484 0.4996 0.7480
Ca: 0.7306 0.4976 0.7330
Ca: 0.7516 0.9996 0.7512
Ca: 0.7516 0.5004 0.2520
Ca: 0.7647 0.9976 0.2670
Al: 0.0725 0.5010 0.0715
Al: 0.4294 0.0010 0.9285
Sn: 0.1294 0.9997 0.6297
Sn: 0.3700 0.4997 0.3703

Values from the calculation:
Energy of formation from the pure elements (meV/atom): -231
Offset from the most stable computed form (eV per atom): 0.0000


PmAgH6Pt: optimized geometry, GGA-PBE.

Lattice parameters (Å, degrees): 4.8062 4.8062 4.3945 90.00 90.00 120.00
Fractional coordinates of all 9 atoms:
Pm: 0.0000 0.0000 0.0000
Ag: 0.3333 0.6667 0.5000
H: 0.5155 0.0310 0.2171
H: 0.5155 0.0310 0.7829
H: 0.5155 0.4845 0.2171
H: 0.5155 0.4845 0.7829
H: 0.9690 0.4845 0.2171
H: 0.9690 0.4845 0.7829
Pt: 0.6667 0.3333 0.5000

Values from the calculation:
E_tot (eV/cell): -35.159


Ca3TcO: optimized geometry, GGA-PBE.

Lattice parameters (Å, degrees): 5.2168 5.2168 5.2168 90.00 90.00 90.00
Fractional coordinates of all 5 atoms:
Ca: 0.0000 0.0000 0.5000
Ca: 0.0000 0.5000 0.0000
Ca: 0.5000 0.0000 0.0000
Tc: 0.0000 0.0000 0.0000
O: 0.5000 0.5000 0.5000

Values from the calculation:
Offset from the most stable computed form (eV per atom): 1.2090
ΔE_f (raw) (meV/atom): 541.9


ReI: optimized geometry, GGA-PBE.

Lattice parameters (Å, degrees): 3.9573 3.9573 3.9573 60.00 60.00 60.00
Fractional coordinates of all 2 atoms:
Re: 0.0000 0.0000 0.0000
I: 0.5000 0.5000 0.5000

Values from the calculation:
Offset from the most stable computed form (eV per atom): 1.6269
ΔE_f (raw) (meV/atom): 2155.4


VMoW: optimized geometry, GGA-PBE.

Lattice parameters (Å, degrees): 3.1244 3.1244 9.3408 90.00 90.00 90.00
Fractional coordinates of all 6 atoms:
V: 0.2500 0.2500 0.0801
V: 0.7500 0.7500 0.9199
Mo: 0.2500 0.2500 0.7573
Mo: 0.7500 0.7500 0.2427
W: 0.2500 0.2500 0.4123
W: 0.7500 0.7500 0.5877

Values from the calculation:
Energy of formation from the pure elements (meV/atom): -82
Offset from the most stable computed form (eV per atom): 0.0371


TbPr2Sm6Tm: optimized geometry, GGA-PBE.

Lattice parameters (Å, degrees): 8.9134 8.9134 9.8229 94.44 94.44 118.13
Fractional coordinates of all 20 atoms:
Tb: 0.0182 0.9818 0.7500
Tb: 0.9818 0.0182 0.2500
Pr: 0.1955 0.2977 0.5419
Pr: 0.2977 0.1955 0.0419
Pr: 0.7023 0.8045 0.9581
Pr: 0.8045 0.7023 0.4581
Sm: 0.0171 0.5751 0.6897
Sm: 0.1244 0.7489 0.0561
Sm: 0.2511 0.8756 0.4439
Sm: 0.2922 0.5022 0.8807
Sm: 0.4249 0.9829 0.8103
Sm: 0.4978 0.7078 0.6193
Sm: 0.5022 0.2922 0.3807
Sm: 0.5751 0.0171 0.1897
Sm: 0.7078 0.4978 0.1193
Sm: 0.7489 0.1244 0.5561
Sm: 0.8756 0.2511 0.9439
Sm: 0.9829 0.4249 0.3103
Tm: 0.4079 0.5921 0.2500
Tm: 0.5921 0.4079 0.7500

Values from the calculation:
Energy of formation from the pure elements (meV/atom): 116


V7Rh2C2: optimized geometry, GGA-PBE.

Lattice parameters (Å, degrees): 7.7822 7.7822 7.7822 158.63 56.38 128.50
Fractional coordinates of all 11 atoms:
V: 0.0000 0.0000 0.0000
V: 0.2773 0.4221 0.8552
V: 0.2984 0.6164 0.6821
V: 0.5670 0.4221 0.1448
V: 0.5784 0.2456 0.3328
V: 0.9127 0.2456 0.6672
V: 0.9343 0.6164 0.3179
Rh: 0.3075 0.8075 0.5000
Rh: 0.6623 0.6623 0.0000
C: 0.1726 0.9238 0.2488
C: 0.6750 0.9238 0.7512

Values from the calculation:
Energy of formation from the pure elements (meV/atom): -250


Ca3OsRh: optimized geometry, GGA-PBE.

Lattice parameters (Å, degrees): 5.2111 5.2111 5.2111 90.00 90.00 90.00
Fractional coordinates of all 5 atoms:
Ca: 0.0000 0.0000 0.5000
Ca: 0.0000 0.5000 0.0000
Ca: 0.5000 0.0000 0.0000
Os: 0.5000 0.5000 0.5000
Rh: 0.0000 0.0000 0.0000

Values from the calculation:
Energy of formation from the pure elements (meV/atom): 718
Offset from the most stable computed form (eV per atom): 0.0000


ZrFeSb: optimized geometry, GGA-PBE.

Lattice parameters (Å, degrees): 4.6338 4.6338 4.6338 60.00 60.00 60.00
Fractional coordinates of all 3 atoms:
Zr: 0.0000 0.0000 0.0000
Fe: 0.7500 0.7500 0.7500
Sb: 0.2500 0.2500 0.2500

Values from the calculation:
ΔE_f (raw) (meV/atom): 285.0


Y2ZnHRh6: optimized geometry, GGA-PBE.

Lattice parameters (Å, degrees): 6.0993 6.0993 6.0993 120.25 119.78 89.97
Fractional coordinates of all 10 atoms:
Y: 0.2489 0.2489 0.0000
Y: 0.7511 0.7511 0.0000
Zn: 0.0000 0.5000 0.5000
H: 0.5000 0.0000 0.5000
Rh: 0.2763 0.7763 0.5000
Rh: 0.2774 0.2246 0.5020
Rh: 0.2774 0.7754 0.0528
Rh: 0.7226 0.2246 0.9472
Rh: 0.7226 0.7754 0.4980
Rh: 0.7237 0.2237 0.5000

Values from the calculation:
E_tot (eV/cell): -65.324


ZrAgF3: optimized geometry, GGA-PBE.

Lattice parameters (Å, degrees): 4.4316 4.4316 4.4316 90.00 90.00 90.00
Fractional coordinates of all 5 atoms:
Zr: 0.0000 0.0000 0.0000
Ag: 0.5000 0.5000 0.5000
F: 0.0000 0.5000 0.5000
F: 0.5000 0.0000 0.5000
F: 0.5000 0.5000 0.0000

Values from the calculation:
Offset from the most stable computed form (eV per atom): 1.2113
ΔE_f (raw) (meV/atom): -927.5


Number 1: volume 83 Å³/f.u.. Number 2: volume 163 Å³/f.u.. Number 3: volume 88 Å³/f.u.. Number 4: volume 142 Å³/f.u.. Number 5: volume 44 Å³/f.u.. Number 6: volume 46 Å³/f.u.. Number 7: volume 340 Å³/f.u.. Number 8: volume 134 Å³/f.u.. Number 9: volume 142 Å³/f.u.. Number 10: volume 70 Å³/f.u.. Number 11: volume 160 Å³/f.u.. Number 12: volume 87 Å³/f.u..